BeZnCd2 | PBE-GGA | optimized geometry

Results
- Relative energy among the computed polymorphs: 0.000 eV/atom
- DOS(E_F): 0.259 states/eV per atom
- Total magnetization: 0.00 μB per atom
- DFT formation energy: 0.21 eV/atom

a b c (Å): 6.420 6.420 6.420
angles (deg): 155.11 140.26 47.47
Fractional coordinates of all 4 atoms:
Cd1 0.755 0.255 0.500
Cd2 0.053 0.053 0.000
Zn1 0.434 0.434 0.000
Be1 0.258 0.758 0.500

---

BeZnCd4 | PBE-GGA | optimized geometry

Results
- DOS(E_F): 0.285 states/eV per atom
- Total magnetization: 0.00 μB per atom
- DFT formation energy: 0.51 eV/atom

a b c (Å): 5.657 5.657 5.657
angles (deg): 60.00 60.00 60.00
Fractional coordinates of all 6 atoms:
Be1 0.000 0.000 0.000
Zn1 0.750 0.750 0.750
Cd1 0.375 0.375 0.375
Cd2 0.375 0.375 0.876
Cd3 0.876 0.375 0.375
Cd4 0.375 0.876 0.375

---

BeZnCd2 | PBE-GGA | optimized geometry

Results
- Relative energy among the computed polymorphs: 0.035 eV/atom
- DOS(E_F): 0.398 states/eV per atom
- Total magnetization: 0.00 μB per atom
- DFT formation energy: 0.25 eV/atom

a b c (Å): 2.814 3.155 7.732
angles (deg): 90.00 90.00 90.00
Fractional coordinates of all 4 atoms:
Cd1 0.500 0.500 0.276
Cd2 0.000 0.000 0.950
Zn1 0.000 0.000 0.556
Be1 0.500 0.500 0.717

---

Be2ZnCd | PBE-GGA | optimized geometry

Results
- Relative energy among the computed polymorphs: 0.401 eV/atom
- DOS(E_F): 0.396 states/eV per atom
- Total magnetization: 0.00 μB per atom
- DFT formation energy: 0.70 eV/atom

a b c (Å): 6.933 6.933 5.526
angles (deg): 51.15 51.15 90.00
Fractional coordinates of all 8 atoms:
Cd1 0.750 0.250 0.500
Cd2 0.000 0.000 0.000
Be1 0.375 0.402 0.750
Be2 0.152 0.625 0.250
Be3 0.598 0.125 0.250
Be4 0.875 0.848 0.750
Zn1 0.250 0.750 0.500
Zn2 0.500 0.500 0.000

---

BeZn3Cd | PBE-GGA | optimized geometry

Results
- Relative energy among the computed polymorphs: 0.000 eV/atom
- DOS(E_F): 0.255 states/eV per atom
- Total magnetization: 0.00 μB per atom
- DFT formation energy: 0.27 eV/atom

a b c (Å): 4.398 4.398 4.398
angles (deg): 90.00 90.00 90.00
Fractional coordinates of all 5 atoms:
Be1 0.000 0.000 0.000
Zn1 0.000 0.500 0.000
Zn2 0.500 0.000 0.000
Zn3 0.000 0.000 0.500
Cd1 0.500 0.500 0.500

---

Be2ZnCd | PBE-GGA | optimized geometry

Results
- Relative energy among the computed polymorphs: 0.026 eV/atom
- DOS(E_F): 0.131 states/eV per atom
- Total magnetization: 0.00 μB per atom
- DFT formation energy: 0.33 eV/atom

a b c (Å): 3.929 2.795 4.879
angles (deg): 89.98 90.00 90.00
Fractional coordinates of all 4 atoms:
Zn1 0.500 0.626 0.845
Be1 0.000 0.126 0.966
Be2 0.500 0.125 0.241
Cd1 0.000 0.624 0.448